Density functional theory data (PBE) for an optimized crystal structure of SrTi2Ga2.

Cell: 8.285 8.285 2.953 Å, 90.00 90.00 90.00°
Positions (direct):
Sr: 0.000 0.000 0.000
Sr: 0.500 0.500 0.000
Ti: 0.125 0.375 0.500
Ti: 0.375 0.875 0.500
Ti: 0.625 0.125 0.500
Ti: 0.875 0.625 0.500
Ga: 0.167 0.667 0.000
Ga: 0.333 0.167 0.000
Ga: 0.667 0.833 0.000
Ga: 0.833 0.333 0.000

Computed properties:
- formation enthalpy at 0 K (eV per atom) = -0.105
- E (eV/atom) = -4.81
- offset from the most stable computed form (kcal/mol of atoms) = 1.77
- SG = No. 127